[1]
A relaxed FeReBiN2 crystal, computed with PBEsol.

a b c (Å): 3.709 3.709 5.473
angles (deg): 90.00 90.00 90.00
Each line ends with the local moment (μB).
Positions (direct):
Re 0.500 0.500 0.500  2.00
N 0.000 0.500 0.000  -0.07
N 0.500 0.000 0.000  -0.07
Bi 0.000 0.000 0.500  -0.04
Fe 0.000 0.000 0.000  0.25

Computed properties:
Crystal system: tetragonal
Energy relative to the elements, uncorrected in meV/atom: 1709.2

---

[2]
A relaxed FeBiSe2N crystal, computed with PBEsol.

a b c (Å): 4.146 5.401 5.401
angles (deg): 90.00 90.00 90.00
Each line ends with the local moment (μB).
Positions (direct):
N 0.500 0.000 0.000  0.50
Bi 0.000 0.000 0.000  -0.02
Se 0.000 0.000 0.500  0.16
Se 0.000 0.500 0.000  0.16
Fe 0.500 0.500 0.500  3.46

Computed properties:
Crystal system: tetragonal
Energy relative to the elements, uncorrected in meV/atom: 1457.6

---

[3]
A relaxed FeBiTeN2 crystal, computed with PBEsol.

a b c (Å): 4.205 4.205 6.269
angles (deg): 90.00 90.00 90.00
Each line ends with the local moment (μB).
Positions (direct):
N 0.000 0.500 0.000  0.62
N 0.500 0.000 0.000  0.62
Te 0.000 0.000 0.500  0.10
Bi 0.000 0.000 0.000  -0.03
Fe 0.500 0.500 0.500  3.35

Computed properties:
Crystal system: tetragonal
Energy relative to the elements, uncorrected in meV/atom: 1857.9

---

[4]
A relaxed NaFeBi3 crystal, computed with PBEsol.

a b c (Å): 5.342 5.342 5.342
angles (deg): 90.00 90.00 90.00
Each line ends with the local moment (μB).
Positions (direct):
Na 0.000 0.000 0.000  0.00
Bi 0.000 0.500 0.000  -0.02
Bi 0.000 0.000 0.500  -0.02
Bi 0.500 0.000 0.000  -0.02
Fe 0.500 0.500 0.500  3.29

Computed properties:
Crystal system: cubic

---

[5]
A relaxed Na2FeReBi crystal, computed with PBEsol.

a b c (Å): 4.327 5.070 5.070
angles (deg): 90.00 90.00 90.00
Each line ends with the local moment (μB).
Positions (direct):
Re 0.500 0.000 0.000  -0.12
Na 0.000 0.000 0.500  0.00
Na 0.000 0.500 0.000  0.00
Bi 0.500 0.500 0.500  0.06
Fe 0.000 0.000 0.000  1.28

Computed properties:
Crystal system: tetragonal

---

[6]
A relaxed Nb3FeBi6O18 crystal, computed with PBEsol.

a b c (Å): 5.434 5.485 12.999
angles (deg): 90.08 101.81 90.08
Each line ends with the local moment (μB).
Positions (direct):
Nb 0.167 0.306 0.828  0.01
Nb 0.661 0.808 0.828  0.00
Nb 0.831 0.816 0.177  0.11
Fe 0.332 0.309 0.177  3.90
Bi 0.987 0.242 0.398  0.01
Bi 0.578 0.236 0.597  0.00
Bi 0.031 0.746 0.596  0.00
Bi 0.432 0.723 0.395  0.01
Bi 0.750 0.264 0.014  0.01
Bi 0.252 0.759 0.013  0.01
O 0.248 0.508 0.502  0.01
O 0.746 0.510 0.496  0.01
O 0.765 0.009 0.497  0.01
O 0.263 0.006 0.500  0.01
O 0.330 0.356 0.995  0.04
O 0.662 0.853 0.997  0.01
O 0.351 0.634 0.821  0.00
O 0.518 0.639 0.169  0.07
O 0.646 0.138 0.170  0.11
O 0.470 0.133 0.822  0.00
O 0.336 0.333 0.319  0.25
O 0.016 0.322 0.685  0.00
O 0.671 0.825 0.685  0.00
O 0.972 0.807 0.320  0.01
O 0.020 0.549 0.126  0.06
O 0.898 0.545 0.872  0.00
O 0.973 0.044 0.872  0.00
O 0.093 0.043 0.128  0.12

Computed properties:
Crystal system: triclinic
Energy relative to the elements, uncorrected in meV/atom: -1777.6

---

[7]
A relaxed FeNiBiPd2 crystal, computed with PBEsol.

a b c (Å): 4.280 4.615 4.615
angles (deg): 90.00 90.00 90.00
Each line ends with the local moment (μB).
Positions (direct):
Ni 0.500 0.000 0.000  0.75
Bi 0.500 0.500 0.500  0.02
Pd 0.000 0.000 0.500  0.28
Pd 0.000 0.500 0.000  0.28
Fe 0.000 0.000 0.000  2.92

Computed properties:
Crystal system: tetragonal

---

[8]
A relaxed FeNiBiSe2 crystal, computed with PBEsol.

a b c (Å): 4.853 5.485 5.485
angles (deg): 90.00 90.00 90.00
Each line ends with the local moment (μB).
Positions (direct):
Ni 0.500 0.500 0.500  1.00
Bi 0.000 0.000 0.000  -0.07
Se 0.000 0.000 0.500  0.20
Se 0.000 0.500 0.000  0.20
Fe 0.500 0.000 0.000  2.99

Computed properties:
Crystal system: tetragonal
Energy relative to the elements, uncorrected in meV/atom: 1555.8

---

no.,E (eV/atom)
1,-7.018
2,-4.438
3,-4.908
4,-3.402
5,-4.629
6,-7.550
7,-5.657
8,-3.866